DFT (meta-GGA SCAN) results for Ho4FeSn8 at its PBEsol-relaxed geometry.

For the total energy, the calculation gives -39.109 eV per atom. Its formation energy is -535.5 meV/atom. The space-group type is No. 25. The value obtained for the calculated volume is 308.38 Å³/f.u.

abc: 4.350 4.397 16.123
angles: 90.00 90.00 90.00
Fractional coordinates of all 13 atoms:
Ho 0.000 0.000 0.000
Ho 0.000 0.500 0.490
Ho 0.500 0.000 0.791
Ho 0.500 0.500 0.298
Fe 0.000 0.500 0.701
Sn 0.000 0.000 0.329
Sn 0.000 0.000 0.632
Sn 0.000 0.500 0.149
Sn 0.000 0.500 0.851
Sn 0.500 0.000 0.150
Sn 0.500 0.000 0.458
Sn 0.500 0.500 0.630
Sn 0.500 0.500 0.973

***

DFT (meta-GGA SCAN) results for Li2Ti2Mn3O10 at its PBEsol-relaxed geometry.

For the total energy, the calculation gives -11.611 eV per atom. The space-group type is No. 2. The value obtained for the calculated volume is 174.45 Å³/f.u. For the formation energy (no corrections), the calculation gives -2557 meV/atom.

abc: 4.943 4.947 7.625
angles: 75.11 76.30 82.02
Fractional coordinates of all 17 atoms:
Li 0.022 0.273 0.395
Li 0.978 0.727 0.605
Ti 0.494 0.366 0.686
Ti 0.506 0.634 0.314
Mn 0.000 0.500 0.000
Mn 0.484 0.803 0.903
Mn 0.516 0.197 0.097
O 0.238 0.684 0.785
O 0.267 0.415 0.515
O 0.282 0.147 0.940
O 0.285 0.545 0.129
O 0.314 0.983 0.312
O 0.686 0.017 0.688
O 0.715 0.455 0.871
O 0.718 0.853 0.060
O 0.733 0.585 0.485
O 0.762 0.316 0.215

***

DFT (meta-GGA SCAN) results for MnH2Cl2O at its PBEsol-relaxed geometry.

For the total energy, the calculation gives -9.226 eV per atom. The space-group type is No. 62. The value obtained for the calculated volume is 91.31 Å³/f.u.

abc: 8.832 3.648 11.336
angles: 90.00 90.00 90.00
Fractional coordinates of all 24 atoms:
Mn 0.184 0.250 0.014
Mn 0.316 0.750 0.514
Mn 0.684 0.250 0.486
Mn 0.816 0.750 0.986
H 0.045 0.750 0.641
H 0.185 0.750 0.733
H 0.315 0.250 0.233
H 0.455 0.250 0.141
H 0.545 0.750 0.859
H 0.685 0.750 0.767
H 0.815 0.250 0.267
H 0.955 0.250 0.359
Cl 0.039 0.750 0.124
Cl 0.192 0.250 0.399
Cl 0.308 0.750 0.899
Cl 0.461 0.250 0.624
Cl 0.539 0.750 0.376
Cl 0.692 0.250 0.101
Cl 0.808 0.750 0.601
Cl 0.961 0.250 0.876
O 0.157 0.750 0.648
O 0.343 0.250 0.148
O 0.657 0.750 0.852
O 0.843 0.250 0.352

***

DFT (meta-GGA SCAN) results for NiAg2Cl at its PBEsol-relaxed geometry.

For the total energy, the calculation gives -21.342 eV per atom. The space-group type is No. 139. The value obtained for the calculated volume is 63.89 Å³/f.u. For the formation energy (no corrections), the calculation gives 379 meV/atom. Its distance to the lowest polymorph of the same formula is 0.061 eV per atom.

abc: 5.110 5.110 5.110
angles: 135.84 135.84 64.23
Fractional coordinates of all 4 atoms:
Ni 0.000 0.000 0.000
Ag 0.250 0.750 0.500
Ag 0.750 0.250 0.500
Cl 0.500 0.500 0.000

***

DFT (meta-GGA SCAN) results for YCrRu2 at its PBEsol-relaxed geometry.

For the total energy, the calculation gives -28.512 eV per atom. Its formation energy is 457.6 meV/atom. The space-group type is No. 166. The value obtained for the calculated volume is 61.08 Å³/f.u. Its distance to the lowest polymorph of the same formula is 0.450 eV per atom.

abc: 9.002 9.002 9.002
angles: 18.04 18.04 18.04
Fractional coordinates of all 4 atoms:
Y 0.000 0.000 0.000
Cr 0.500 0.500 0.500
Ru 0.238 0.238 0.238
Ru 0.762 0.762 0.762

***

DFT (meta-GGA SCAN) results for LaEuAg2 at its PBEsol-relaxed geometry.

For the total energy, the calculation gives -40.209 eV per atom. Its formation energy is -321.2 meV/atom. The space-group type is No. 225. The value obtained for the calculated volume is 103.35 Å³/f.u.

abc: 5.268 5.268 5.268
angles: 60.00 60.00 60.00
Fractional coordinates of all 4 atoms:
La 0.000 0.000 0.000
Eu 0.500 0.500 0.500
Ag 0.250 0.250 0.250
Ag 0.750 0.750 0.750